AcLa2CuS5: optimized geometry, PBE-GGA.

```
AcLa2CuS5
1.0
-4.020 -0.211 0.414
2.949 -7.991 4.783
0.680 6.044 9.679
Ac La Cu S
2 4 2 10
Direct
0.799 0.598 0.507
0.201 0.402 0.007
0.892 0.785 0.813
0.089 0.178 0.684
0.108 0.215 0.313
0.911 0.822 0.184
0.560 0.119 0.950
0.440 0.881 0.450
0.362 0.724 0.006
0.665 0.330 0.832
0.496 0.991 0.779
0.303 0.606 0.697
0.952 0.904 0.555
0.638 0.276 0.506
0.335 0.670 0.332
0.504 0.009 0.279
0.697 0.394 0.197
0.048 0.096 0.055
```

Output
Symmetry = Cmc2_1
Energy relative to the elements, uncorrected = -1.79 eV/atom


AlAs2P: optimized geometry, PBE-GGA.

```
AlAs2P
1.0
4.514 -0.075 0.000
-0.922 4.420 0.000
0.000 0.000 3.555
P As Al
1 2 1
Direct
0.500 0.000 0.500
0.000 0.000 0.000
0.500 0.500 0.000
0.000 0.500 0.500
```

Output
Symmetry = Cmmm
ΔH_f (0 K) = 0.37 eV/atom
DOS(E_F) = 1.52 states/eV/f.u.
E above lowest polymorph = 0.453 eV/atom


DFT total energy, record by record: -6.092 -4.238 eV per atom
Total magnetization, record by record: 0.00 0.00 μB/f.u.